This record from Alexandria describes crystalline Cr2RhCl at its relaxed geometry. The functional is PBE.

a b c (Å): 2.7557 2.7557 23.8721
angles (deg): 90.00 90.00 120.00
With the nearest neighbours (Å) after each atom.
Space group R-3m (No. 166, hexagonal axes)
Asymmetric unit:
Cr  0.0000  0.0000  0.2464 [6 per cell]  3 Cl 2.48, 3 Rh 2.61, 6 Cr 2.76
Rh  0.0000  0.0000  0.0000 [3 per cell]  6 Cr 2.61, 6 Rh 2.76
Cl  0.0000  0.0000  0.5000 [3 per cell]  6 Cr 2.48, 6 Cl 2.76

Results
Energy above the lowest structure with this stoichiometry = 217 meV per atom
Formation energy without anion corrections = 0.318 eV/atom

=====

This record from Alexandria describes crystalline Tl4Hg3Bi2 at its relaxed geometry. The functional is PBE.

a b c (Å): 9.5243 5.4675 10.5287
angles (deg): 90.00 90.82 90.00
With the nearest neighbours (Å) after each atom.
Space group C2/m (No. 12)
Asymmetric unit:
Tl  0.0018  0.0000  0.3290 [4 per cell]  3 Bi 3.37-3.38, 4 Hg 3.39-3.46, 1 Tl 3.60
Tl  0.1660  0.5000  0.8938 [4 per cell]  4 Hg 3.36-3.61, 4 Bi 3.37-3.41
Hg  0.0000  0.0000  0.0000 [2 per cell]  8 Tl 3.36-3.46
Hg  0.1658  0.5000  0.5509 [4 per cell]  3 Hg 3.32-3.35, 4 Tl 3.39-3.61, 1 Bi 3.51
Bi  0.1683  0.5000  0.2176 [4 per cell]  7 Tl 3.37-3.41, 1 Hg 3.51

Results
Formation enthalpy at 0 K = -14 meV/atom

=====

This record from Alexandria describes crystalline Dy6Al43Mo4 at its relaxed geometry. The functional is PBE.

a b c (Å): 11.0174 11.0174 17.6791
angles (deg): 90.00 90.00 120.00
With the nearest neighbours (Å) after each atom.
Space group P6_3/mcm (No. 193)
Asymmetric unit:
Dy  0.0000  0.4697  0.0952 [12 per cell]  14 Al 3.06-3.39
Al  0.0000  0.1473  0.7500 [6 per cell]  2 Mo 2.58, 6 Al 2.81-2.83
Al  0.0000  0.1590  0.1149 [12 per cell]  2 Mo 2.68-2.69, 7 Al 2.73-2.93
Al  0.0000  0.2537  0.5307 [12 per cell]  9 Al 2.73-3.00, 1 Mo 2.85
Al  0.1467  0.5515  0.2500 [12 per cell]  1 Mo 2.68, 7 Al 2.74-2.84
Al  0.1578  0.3938  0.6639 [24 per cell]  1 Mo 2.72, 8 Al 2.72-3.04
Al  0.2465  0.4930  0.0000 [12 per cell]  6 Al 2.73-2.87
Al  0.3333  0.6667  0.1258 [8 per cell]  9 Al 2.72-2.84
Mo  0.0000  0.0000  0.0000 [2 per cell]  12 Al 2.68-2.85
Mo  0.0000  0.2704  0.2500 [6 per cell]  10 Al 2.58-2.72

Results
Formation enthalpy at 0 K = -323 meV/atom

=====

This record from Alexandria describes crystalline PmScCdIr at its relaxed geometry. The functional is PBE.

a b c (Å): 7.0437 7.0437 7.0437
angles (deg): 90.00 90.00 90.00
With the nearest neighbours (Å) after each atom.
Space group F-43m (No. 216)
Asymmetric unit:
Pm  0.0000  0.0000  0.0000 [4 per cell]  4 Cd 3.05, 4 Ir 3.05
Sc  0.0000  0.0000  0.5000 [4 per cell]  4 Cd 3.05, 4 Ir 3.05
Cd  0.2500  0.2500  0.7500 [4 per cell]  4 Pm 3.05, 4 Sc 3.05
Ir  0.2500  0.2500  0.2500 [4 per cell]  4 Pm 3.05, 4 Sc 3.05

Results
Formation enthalpy at 0 K = -464 meV/atom

=====

This record from Alexandria describes crystalline CsSI2 at its relaxed geometry. The functional is PBE.

a b c (Å): 7.1019 7.1019 17.2319
angles (deg): 90.00 90.00 90.00
With the nearest neighbours (Å) after each atom.
Space group I-42d (No. 122)
Asymmetric unit:
Cs  0.0000  0.0000  0.0000 [4 per cell]  4 I 4.02
S  0.0000  0.0000  0.5000 [4 per cell]  4 I 2.87
I  0.0929  0.2500  0.6250 [8 per cell]  2 S 2.87

Results
Energy above the lowest structure with this stoichiometry = 5 meV per atom
Formation energy without anion corrections = -0.388 eV/atom

=====

This record from Alexandria describes crystalline Li2InW at its relaxed geometry. The functional is PBE.

a b c (Å): 2.7554 4.9110 5.1520
angles (deg): 90.00 92.53 90.00
With the nearest neighbours (Å) after each atom.
Space group P2/m (No. 10)
Asymmetric unit:
Li  0.1949  0.0000  0.2172 [2 per cell]  1 Li 2.44
In  0.0000  0.5000  0.5000 [1 per cell]  2 In 2.76, 4 W 2.87-2.97, 4 Li 2.92
W  0.5000  0.5000  0.0000 [1 per cell]  2 W 2.76, 4 Li 2.84, 4 In 2.87-2.97

Results
Formation enthalpy at 0 K = 372 meV/atom

=====

This record from Alexandria describes crystalline PrNdTeBr2 at its relaxed geometry. The functional is PBE.

a b c (Å): 4.6237 4.6237 14.7195
angles (deg): 90.00 90.00 90.00
With the nearest neighbours (Å) after each atom.
Space group I4mm (No. 107)
Asymmetric unit:
Pr  0.0000  0.0000  0.0000 [2 per cell]  4 Br 3.06, 1 Nd 3.42
Nd  0.0000  0.0000  0.7677 [2 per cell]  4 Br 3.02
Te  0.0000  0.0000  0.3845 [2 per cell]  4 Pr 3.68, 4 Nd 3.69
Br  0.0000  0.5000  0.1360 [4 per cell]  2 Nd 3.02, 2 Pr 3.06, 4 Br 3.27

Results
Formation energy without anion corrections = -1.216 eV/atom

=====

This record from Alexandria describes crystalline Zn7Cu2Pt2 at its relaxed geometry. The functional is PBE.

a b c (Å): 4.1675 11.2985 6.8265
angles (deg): 90.00 90.00 90.00
With the nearest neighbours (Å) after each atom.
Space group Imm2 (No. 44)
Asymmetric unit:
Zn  0.0000  0.0000  0.0000 [2 per cell]  1 Cu 2.56, 2 Pt 2.63, 6 Zn 2.66-2.77
Zn  0.0000  0.1395  0.6672 [4 per cell]  3 Cu 2.54-2.61, 2 Pt 2.68, 2 Zn 2.77-2.84
Zn  0.0000  0.3564  0.4563 [4 per cell]  1 Cu 2.57, 3 Pt 2.59-2.63, 6 Zn 2.66-2.87
Zn  0.0000  0.3641  0.8648 [4 per cell]  3 Cu 2.56-2.59, 3 Pt 2.65-2.66, 1 Zn 2.79
Cu  0.0000  0.0000  0.3749 [2 per cell]  7 Zn 2.54-2.59, 2 Pt 2.80
Cu  0.0000  0.5000  0.1650 [2 per cell]  8 Zn 2.56-2.61
Pt  0.0000  0.2117  0.1613 [4 per cell]  9 Zn 2.59-2.68, 1 Cu 2.80

Results
Formation enthalpy at 0 K = -266 meV/atom

=====

This record from Alexandria describes crystalline MnTlPb2Cl8 at its relaxed geometry. The functional is PBE.

a b c (Å): 6.3716 6.7833 8.7435
angles (deg): 89.97 89.90 86.98
With the nearest neighbours (Å) after each atom.
Space group P-1 (No. 2)
Asymmetric unit:
Mn  0.0000  0.0000  0.0000 [1 per cell]  4 Cl 2.30
Tl  0.0000  0.0000  0.5000 [1 per cell]  6 Cl 3.09-3.18
Pb  0.5003  0.4999  0.2355 [2 per cell]  6 Cl 2.89-3.00
Cl  0.2125  0.8587  0.1863 [2 per cell]  1 Mn 2.30
Cl  0.2136  0.8597  0.8133 [2 per cell]  1 Mn 2.30
Cl  0.2466  0.3218  0.0005 [2 per cell]  1 Mn 2.76, 2 Pb 2.92
Cl  0.2834  0.3558  0.5002 [2 per cell]  2 Pb 2.89, 1 Tl 3.09

Results
Formation energy without anion corrections = -1.030 eV/atom

=====

This record from Alexandria describes crystalline AlAgS2N at its relaxed geometry. The functional is PBE.

a b c (Å): 4.8018 4.8018 3.6238
angles (deg): 90.00 90.00 90.00
With the nearest neighbours (Å) after each atom.
Space group P4/mmm (No. 123)
Asymmetric unit:
Al  0.0000  0.0000  0.0000 [1 per cell]  2 N 1.81
Ag  0.5000  0.5000  0.5000 [1 per cell]  8 S 3.01
S  0.0000  0.5000  0.0000 [2 per cell]  2 Al 2.40
N  0.0000  0.0000  0.5000 [1 per cell]  2 Al 1.81

Results
Energy above the lowest structure with this stoichiometry = 0 meV per atom
Formation energy without anion corrections = 0.406 eV/atom

=====

What Fermi-level density of states values result from the calculations? In sequence: 11.7; 4.2; 37.2; 10.4; 3.1; 2.2; 6.6; 5.8; 0.1; 5.0 states/eV per cell.
What total magnetic moment values result from the calculations? In sequence: 2.684; 0.000; 0.000; 0.000; 0.000; 0.000; 0.982; 0.000; 3.996; 0.000 Bohr magnetons per cell.
What DFT total energy values result from the calculations? In sequence: -6.79; -2.03; -4.70; -5.68; -2.41; -4.51; -4.42; -2.92; -3.84; -4.23 eV/atom.